1.
# Sr3Tl3ReO8 PBE optimized geometry
data_Sr3Tl3ReO8
_chemical_formula_sum 'Sr3 Tl3 Re1 O8'
_cell_length_a 7.244
_cell_length_b 7.244
_cell_length_c 7.633
_cell_angle_alpha 118.32
_cell_angle_beta 89.99
_cell_angle_gamma 120.00
_symmetry_space_group_name_H-M 'P 1'
_symmetry_Int_Tables_number 1
_symmetry_space_group_name_Hall 'P 1'
loop_
_atom_site_label
_atom_site_type_symbol
_atom_site_fract_x
_atom_site_fract_y
_atom_site_fract_z
Sr1 Sr 0.500 0.000 0.500
Sr2 Sr 0.500 0.500 0.500
Sr3 Sr 0.000 0.500 0.500
Tl1 Tl 0.000 0.000 0.000
Tl2 Tl 0.000 0.500 0.000
Tl3 Tl 0.500 0.500 0.000
Re1 Re 0.000 0.000 0.500
O1 O 0.270 0.539 0.309
O2 O 0.730 0.461 0.691
O3 O 0.816 0.633 0.330
O4 O 0.184 0.367 0.670
O5 O 0.816 0.014 0.330
O6 O 0.184 0.986 0.670
O7 O 0.198 0.014 0.330
O8 O 0.802 0.986 0.670
# SG: R-3m
# E_tot: -0.2233 Ha/atom

***

2.
# Tl2Si2F PBE optimized geometry
data_Tl2Si2F
_chemical_formula_sum 'Tl2 Si2 F1'
_cell_length_a 3.457
_cell_length_b 3.457
_cell_length_c 9.646
_cell_angle_alpha 79.68
_cell_angle_beta 79.68
_cell_angle_gamma 90.00
_symmetry_space_group_name_H-M 'P 1'
_symmetry_Int_Tables_number 1
_symmetry_space_group_name_Hall 'P 1'
loop_
_atom_site_label
_atom_site_type_symbol
_atom_site_fract_x
_atom_site_fract_y
_atom_site_fract_z
Tl1 Tl 0.411 0.411 0.178
Tl2 Tl 0.589 0.589 0.822
Si1 Si 0.750 0.250 0.500
Si2 Si 0.250 0.750 0.500
F1 F 0.000 0.000 0.000
# Fermi-level density of states: 1.59 states/eV per cell
# SG: I4/mmm
# E above lowest polymorph: 0 meV per atom

***

3.
# ThZrPa2 PBE optimized geometry
data_ThZrPa2
_chemical_formula_sum 'Th1 Zr1 Pa2'
_cell_length_a 3.287
_cell_length_b 3.287
_cell_length_c 11.337
_cell_angle_alpha 81.67
_cell_angle_beta 81.67
_cell_angle_gamma 60.00
_symmetry_space_group_name_H-M 'P 1'
_symmetry_Int_Tables_number 1
_symmetry_space_group_name_Hall 'P 1'
loop_
_atom_site_label
_atom_site_type_symbol
_atom_site_fract_x
_atom_site_fract_y
_atom_site_fract_z
Th1 Th 0.500 0.500 0.500
Zr1 Zr 0.667 0.667 0.000
Pa1 Pa 0.080 0.080 0.759
Pa2 Pa 0.253 0.253 0.241
# Fermi-level density of states: 7.56 states/eV per cell
# ΔH_f (0 K): 132 meV per atom
# SG: R3m
# E above lowest polymorph: 0 meV per atom

***

4.
# K2TcHgH PBE optimized geometry
data_K2TcHgH
_chemical_formula_sum 'K2 Tc1 Hg1 H1'
_cell_length_a 6.478
_cell_length_b 5.238
_cell_length_c 6.478
_cell_angle_alpha 90.00
_cell_angle_beta 90.00
_cell_angle_gamma 90.00
_symmetry_space_group_name_H-M 'P 1'
_symmetry_Int_Tables_number 1
_symmetry_space_group_name_Hall 'P 1'
loop_
_atom_site_label
_atom_site_type_symbol
_atom_site_fract_x
_atom_site_fract_y
_atom_site_fract_z
H1 H 0.500 0.500 0.500
K1 K 0.000 0.000 0.500
K2 K 0.500 0.000 0.000
Hg1 Hg 0.000 0.000 0.000
Tc1 Tc 0.000 0.500 0.000
# Fermi-level density of states: 2.22 states/eV per cell
# SG: P4/mmm
# E_tot: -0.0810 Ha/atom

***

5.
# Zn2GeAsN PBE optimized geometry
data_Zn2GeAsN
_chemical_formula_sum 'Zn2 Ge1 As1 N1'
_cell_length_a 4.565
_cell_length_b 5.111
_cell_length_c 4.565
_cell_angle_alpha 90.00
_cell_angle_beta 90.00
_cell_angle_gamma 90.00
_symmetry_space_group_name_H-M 'P 1'
_symmetry_Int_Tables_number 1
_symmetry_space_group_name_Hall 'P 1'
loop_
_atom_site_label
_atom_site_type_symbol
_atom_site_fract_x
_atom_site_fract_y
_atom_site_fract_z
Zn1 Zn 0.000 0.000 0.500
Zn2 Zn 0.500 0.000 0.000
As1 As 0.000 0.500 0.000
Ge1 Ge 0.000 0.000 0.000
N1 N 0.500 0.500 0.500
# Fermi-level density of states: 1.79 states/eV per cell
# SG: P4/mmm
# E_tot: -0.0923 Ha/atom

***

6.
# LaBeTc PBE optimized geometry
data_LaBeTc
_chemical_formula_sum 'La1 Be1 Tc1'
_cell_length_a 4.461
_cell_length_b 4.461
_cell_length_c 4.461
_cell_angle_alpha 60.00
_cell_angle_beta 60.00
_cell_angle_gamma 60.00
_symmetry_space_group_name_H-M 'P 1'
_symmetry_Int_Tables_number 1
_symmetry_space_group_name_Hall 'P 1'
loop_
_atom_site_label
_atom_site_type_symbol
_atom_site_fract_x
_atom_site_fract_y
_atom_site_fract_z
Be1 Be 0.500 0.500 0.500
Tc1 Tc 0.000 0.000 0.000
La1 La 0.750 0.750 0.750
# Fermi-level density of states: 2.67 states/eV per cell
# ΔH_f (0 K): 1359 meV per atom
# SG: F-43m
# E above lowest polymorph: 1273 meV per atom

***

7.
# CoRe PBE optimized geometry
data_CoRe
_chemical_formula_sum 'Co2 Re2'
_cell_length_a 4.199
_cell_length_b 2.630
_cell_length_c 5.264
_cell_angle_alpha 60.04
_cell_angle_beta 90.00
_cell_angle_gamma 90.00
_symmetry_space_group_name_H-M 'P 1'
_symmetry_Int_Tables_number 1
_symmetry_space_group_name_Hall 'P 1'
loop_
_atom_site_label
_atom_site_type_symbol
_atom_site_fract_x
_atom_site_fract_y
_atom_site_fract_z
Re1 Re 0.750 0.174 0.826
Re2 Re 0.250 0.826 0.174
Co1 Co 0.750 0.158 0.342
Co2 Co 0.250 0.842 0.658
# Fermi-level density of states: 2.80 states/eV per cell
# ΔH_f (0 K): -69 meV per atom
# SG: Pmma

***

8.
# Ti2ZnS PBE optimized geometry
data_Ti2ZnS
_chemical_formula_sum 'Ti2 Zn1 S1'
_cell_length_a 3.355
_cell_length_b 3.355
_cell_length_c 7.023
_cell_angle_alpha 76.18
_cell_angle_beta 76.18
_cell_angle_gamma 60.00
_symmetry_space_group_name_H-M 'P 1'
_symmetry_Int_Tables_number 1
_symmetry_space_group_name_Hall 'P 1'
loop_
_atom_site_label
_atom_site_type_symbol
_atom_site_fract_x
_atom_site_fract_y
_atom_site_fract_z
Ti1 Ti 0.066 0.066 0.802
Ti2 Ti 0.268 0.268 0.197
Zn1 Zn 0.499 0.499 0.503
S1 S 0.667 0.667 0.999
# Fermi-level density of states: 2.91 states/eV per cell
# SG: R3m
# E above lowest polymorph: 38 meV per atom

***

9.
# LiMo2Br PBE optimized geometry
data_LiMo2Br
_chemical_formula_sum 'Li1 Mo2 Br1'
_cell_length_a 3.104
_cell_length_b 3.104
_cell_length_c 8.495
_cell_angle_alpha 90.00
_cell_angle_beta 90.00
_cell_angle_gamma 115.91
_symmetry_space_group_name_H-M 'P 1'
_symmetry_Int_Tables_number 1
_symmetry_space_group_name_Hall 'P 1'
loop_
_atom_site_label
_atom_site_type_symbol
_atom_site_fract_x
_atom_site_fract_y
_atom_site_fract_z
Br1 Br 0.000 0.000 0.517
Li1 Li 0.500 0.500 0.733
Mo1 Mo 0.000 0.000 0.019
Mo2 Mo 0.500 0.500 0.230
# Fermi-level density of states: 2.42 states/eV per cell
# SG: Cmm2
# E above lowest polymorph: 155 meV per atom

***

10.
# CdTcCl2 PBE optimized geometry
data_CdTcCl2
_chemical_formula_sum 'Cd1 Tc1 Cl2'
_cell_length_a 6.980
_cell_length_b 6.980
_cell_length_c 6.980
_cell_angle_alpha 155.23
_cell_angle_beta 142.76
_cell_angle_gamma 45.24
_symmetry_space_group_name_H-M 'P 1'
_symmetry_Int_Tables_number 1
_symmetry_space_group_name_Hall 'P 1'
loop_
_atom_site_label
_atom_site_type_symbol
_atom_site_fract_x
_atom_site_fract_y
_atom_site_fract_z
Cl1 Cl 0.996 0.996 0.000
Cl2 Cl 0.663 0.163 0.500
Tc1 Tc 0.515 0.515 0.000
Cd1 Cd 0.325 0.825 0.500
# Fermi-level density of states: 2.92 states/eV per cell
# SG: Imm2
# E above lowest polymorph: 344 meV per atom

***

11.
# Tc2OsC2 PBE optimized geometry
data_Tc2OsC2
_chemical_formula_sum 'Tc2 Os1 C2'
_cell_length_a 3.837
_cell_length_b 3.837
_cell_length_c 4.697
_cell_angle_alpha 65.89
_cell_angle_beta 65.89
_cell_angle_gamma 90.00
_symmetry_space_group_name_H-M 'P 1'
_symmetry_Int_Tables_number 1
_symmetry_space_group_name_Hall 'P 1'
loop_
_atom_site_label
_atom_site_type_symbol
_atom_site_fract_x
_atom_site_fract_y
_atom_site_fract_z
C1 C 0.401 0.401 0.198
C2 C 0.599 0.599 0.802
Os1 Os 0.000 0.000 0.000
Tc1 Tc 0.750 0.250 0.500
Tc2 Tc 0.250 0.750 0.500
# Fermi-level density of states: 4.08 states/eV per cell
# ΔH_f (0 K): 888 meV per atom
# SG: I4/mmm
# E above lowest polymorph: 111 meV per atom

***

12.
# Nd8Sn2Hg PBE optimized geometry
data_Nd8Sn2Hg
_chemical_formula_sum 'Nd8 Sn2 Hg1'
_cell_length_a 5.269
_cell_length_b 7.012
_cell_length_c 10.290
_cell_angle_alpha 104.20
_cell_angle_beta 104.84
_cell_angle_gamma 90.00
_symmetry_space_group_name_H-M 'P 1'
_symmetry_Int_Tables_number 1
_symmetry_space_group_name_Hall 'P 1'
loop_
_atom_site_label
_atom_site_type_symbol
_atom_site_fract_x
_atom_site_fract_y
_atom_site_fract_z
Nd1 Nd 0.407 0.519 0.813
Nd2 Nd 0.657 0.998 0.315
Nd3 Nd 0.786 0.679 0.572
Nd4 Nd 0.984 0.230 0.968
Nd5 Nd 0.214 0.321 0.428
Nd6 Nd 0.343 0.002 0.685
Nd7 Nd 0.593 0.481 0.187
Nd8 Nd 0.016 0.770 0.032
Sn1 Sn 0.820 0.247 0.641
Sn2 Sn 0.180 0.753 0.359
Hg1 Hg 0.500 0.000 0.000
# Fermi-level density of states: 12.52 states/eV per cell
# ΔH_f (0 K): -347 meV per atom
# SG: C2/m

***

13.
# TlInSe2 PBE optimized geometry
data_TlInSe2
_chemical_formula_sum 'Tl1 In1 Se2'
_cell_length_a 6.000
_cell_length_b 6.000
_cell_length_c 6.000
_cell_angle_alpha 141.27
_cell_angle_beta 106.19
_cell_angle_gamma 86.62
_symmetry_space_group_name_H-M 'P 1'
_symmetry_Int_Tables_number 1
_symmetry_space_group_name_Hall 'P 1'
loop_
_atom_site_label
_atom_site_type_symbol
_atom_site_fract_x
_atom_site_fract_y
_atom_site_fract_z
In1 In 0.250 0.750 0.500
Se1 Se 0.044 0.044 0.000
Se2 Se 0.456 0.456 0.000
Tl1 Tl 0.750 0.250 0.500
# Fermi-level density of states: 0.00 states/eV per cell
# SG: Immm
# E_tot: -0.1207 Ha/atom

***

14.
# AlZnIn2 PBE optimized geometry
data_AlZnIn2
_chemical_formula_sum 'Al1 Zn1 In2'
_cell_length_a 9.628
_cell_length_b 9.628
_cell_length_c 9.628
_cell_angle_alpha 19.56
_cell_angle_beta 19.56
_cell_angle_gamma 19.56
_symmetry_space_group_name_H-M 'P 1'
_symmetry_Int_Tables_number 1
_symmetry_space_group_name_Hall 'P 1'
loop_
_atom_site_label
_atom_site_type_symbol
_atom_site_fract_x
_atom_site_fract_y
_atom_site_fract_z
Zn1 Zn 0.250 0.250 0.250
Al1 Al 0.750 0.750 0.750
In1 In 0.997 0.997 0.997
In2 In 0.503 0.503 0.503
# Fermi-level density of states: 1.22 states/eV per cell
# ΔH_f (0 K): 148 meV per atom
# SG: R-3m

***

15.
# LiYZr2 PBE optimized geometry
data_LiYZr2
_chemical_formula_sum 'Li1 Y1 Zr2'
_cell_length_a 5.423
_cell_length_b 5.423
_cell_length_c 5.423
_cell_angle_alpha 128.90
_cell_angle_beta 128.90
_cell_angle_gamma 75.17
_symmetry_space_group_name_H-M 'P 1'
_symmetry_Int_Tables_number 1
_symmetry_space_group_name_Hall 'P 1'
loop_
_atom_site_label
_atom_site_type_symbol
_atom_site_fract_x
_atom_site_fract_y
_atom_site_fract_z
Li1 Li 0.500 0.500 0.000
Y1 Y 0.750 0.250 0.500
Zr1 Zr 0.000 0.000 0.000
Zr2 Zr 0.250 0.750 0.500
# Fermi-level density of states: 4.68 states/eV per cell
# ΔH_f (0 K): 254 meV per atom
# SG: I-4m2
# E above lowest polymorph: 136 meV per atom

***

16.
# LiHoAlPd PBE optimized geometry
data_LiHoAlPd
_chemical_formula_sum 'Li1 Ho1 Al1 Pd1'
_cell_length_a 4.674
_cell_length_b 4.674
_cell_length_c 4.674
_cell_angle_alpha 60.00
_cell_angle_beta 60.00
_cell_angle_gamma 60.00
_symmetry_space_group_name_H-M 'P 1'
_symmetry_Int_Tables_number 1
_symmetry_space_group_name_Hall 'P 1'
loop_
_atom_site_label
_atom_site_type_symbol
_atom_site_fract_x
_atom_site_fract_y
_atom_site_fract_z
Li1 Li 0.000 0.000 0.000
Ho1 Ho 0.750 0.750 0.750
Pd1 Pd 0.500 0.500 0.500
Al1 Al 0.250 0.250 0.250
# Fermi-level density of states: 5.44 states/eV per cell
# ΔH_f (0 K): -591 meV per atom
# SG: F-43m

***

17.
# La5TmIn4 PBE optimized geometry
data_La5TmIn4
_chemical_formula_sum 'La5 Tm1 In4'
_cell_length_a 3.919
_cell_length_b 3.919
_cell_length_c 20.651
_cell_angle_alpha 90.00
_cell_angle_beta 90.00
_cell_angle_gamma 90.00
_symmetry_space_group_name_H-M 'P 1'
_symmetry_Int_Tables_number 1
_symmetry_space_group_name_Hall 'P 1'
loop_
_atom_site_label
_atom_site_type_symbol
_atom_site_fract_x
_atom_site_fract_y
_atom_site_fract_z
La1 La 0.500 0.500 0.111
La2 La 0.500 0.500 0.304
La3 La 0.500 0.500 0.500
La4 La 0.500 0.500 0.696
La5 La 0.500 0.500 0.889
Tm1 Tm 0.000 0.000 0.000
In1 In 0.000 0.000 0.205
In2 In 0.000 0.000 0.402
In3 In 0.000 0.000 0.598
In4 In 0.000 0.000 0.795
# Fermi-level density of states: 12.11 states/eV per cell
# ΔH_f (0 K): -381 meV per atom
# SG: P4/mmm

***

18.
# Nd6SmY12 PBE optimized geometry
data_Nd6SmY12
_chemical_formula_sum 'Nd6 Sm1 Y12'
_cell_length_a 8.741
_cell_length_b 8.741
_cell_length_c 8.741
_cell_angle_alpha 79.74
_cell_angle_beta 79.74
_cell_angle_gamma 79.74
_symmetry_space_group_name_H-M 'P 1'
_symmetry_Int_Tables_number 1
_symmetry_space_group_name_Hall 'P 1'
loop_
_atom_site_label
_atom_site_type_symbol
_atom_site_fract_x
_atom_site_fract_y
_atom_site_fract_z
Nd1 Nd 0.771 0.770 0.164
Nd2 Nd 0.836 0.229 0.230
Nd3 Nd 0.230 0.836 0.229
Nd4 Nd 0.229 0.230 0.836
Nd5 Nd 0.164 0.771 0.770
Nd6 Nd 0.770 0.164 0.771
Sm1 Sm 0.000 0.000 0.000
Y1 Y 0.804 0.484 0.484
Y2 Y 0.484 0.804 0.484
Y3 Y 0.484 0.484 0.804
Y4 Y 0.196 0.516 0.516
Y5 Y 0.516 0.196 0.516
Y6 Y 0.516 0.516 0.196
Y7 Y 0.137 0.137 0.483
Y8 Y 0.863 0.517 0.863
Y9 Y 0.517 0.863 0.863
Y10 Y 0.863 0.863 0.517
Y11 Y 0.137 0.483 0.137
Y12 Y 0.483 0.137 0.137
# Fermi-level density of states: 31.65 states/eV per cell
# ΔH_f (0 K): 110 meV per atom
# SG: R-3m
# E above lowest polymorph: 0 meV per atom

***

19.
# SrGa3Ag5 PBE optimized geometry
data_SrGa3Ag5
_chemical_formula_sum 'Sr2 Ga6 Ag10'
_cell_length_a 4.143
_cell_length_b 7.259
_cell_length_c 13.251
_cell_angle_alpha 90.00
_cell_angle_beta 90.00
_cell_angle_gamma 106.58
_symmetry_space_group_name_H-M 'P 1'
_symmetry_Int_Tables_number 1
_symmetry_space_group_name_Hall 'P 1'
loop_
_atom_site_label
_atom_site_type_symbol
_atom_site_fract_x
_atom_site_fract_y
_atom_site_fract_z
Sr1 Sr 0.835 0.670 0.750
Sr2 Sr 0.165 0.330 0.250
Ga1 Ga 0.380 0.761 0.948
Ga2 Ga 0.874 0.747 0.250
Ga3 Ga 0.380 0.761 0.552
Ga4 Ga 0.620 0.239 0.448
Ga5 Ga 0.126 0.253 0.750
Ga6 Ga 0.620 0.239 0.052
Ag1 Ag 0.804 0.607 0.436
Ag2 Ag 0.196 0.393 0.936
Ag3 Ag 0.000 0.000 0.500
Ag4 Ag 0.000 0.000 0.000
Ag5 Ag 0.449 0.898 0.146
Ag6 Ag 0.551 0.102 0.854
Ag7 Ag 0.551 0.102 0.646
Ag8 Ag 0.804 0.607 0.064
Ag9 Ag 0.196 0.393 0.564
Ag10 Ag 0.449 0.898 0.354
# Fermi-level density of states: 7.81 states/eV per cell
# ΔH_f (0 K): -143 meV per atom
# SG: Cmcm